1.
Crystalline CsHg4Te at its relaxed geometry, computed with PBE-GGA.

Cell and atoms, written as POSCAR:
```
CsHg4Te
1.0
0.000 4.670 4.670
4.670 0.000 4.670
4.670 4.670 0.000
Cs Hg Te
1 4 1
Cartesian
0.000 0.000 0.000 Cs
3.515 3.515 3.515 Hg
5.825 5.825 3.515 Hg
5.825 3.515 5.825 Hg
3.515 5.825 5.825 Hg
7.005 7.005 7.005 Te
```

Polymorph energy (0 for the lowest one) (eV per atom): 0.0838
D(E_F) (states/eV per cell): 5.6
Formation energy (no corrections) (meV/atom): -170

***

2.
Crystalline Cs3HgTe at its relaxed geometry, computed with PBE-GGA.

Cell and atoms, written as POSCAR:
```
Cs3HgTe
1.0
7.412 0.000 0.000
0.000 7.412 0.000
0.000 0.000 7.412
Cs Hg Te
3 1 1
Cartesian
0.000 0.000 3.706 Cs
0.000 3.706 0.000 Cs
3.706 0.000 0.000 Cs
3.706 3.706 3.706 Hg
0.000 0.000 0.000 Te
```

Polymorph energy (0 for the lowest one) (eV per atom): 0.0789
D(E_F) (states/eV per cell): 5.9
Formation energy (no corrections) (meV/atom): -541

***

3.
Crystalline Cs2Hg3Te at its relaxed geometry, computed with PBE-GGA.

Cell and atoms, written as POSCAR:
```
Cs2Hg3Te
1.0
0.000 9.096 9.844
5.832 0.000 9.844
5.832 9.096 0.000
Cs Hg Te
8 12 4
Cartesian
1.458 0.046 2.461 Cs
1.458 4.502 2.461 Cs
4.374 4.514 7.383 Cs
7.290 9.062 12.306 Cs
4.374 9.130 7.383 Cs
7.290 13.678 12.306 Cs
10.205 13.690 17.228 Cs
10.205 18.146 17.228 Cs
4.374 6.822 0.813 Hg
7.220 7.180 5.761 Hg
7.220 6.464 9.006 Hg
10.136 11.012 10.683 Hg
7.290 11.370 5.735 Hg
10.136 11.728 13.928 Hg
1.527 6.464 5.761 Hg
4.374 6.822 13.954 Hg
1.527 7.180 9.006 Hg
4.443 11.728 10.683 Hg
4.443 11.012 13.928 Hg
7.290 11.370 18.876 Hg
4.374 6.822 4.026 Te
7.290 11.370 8.949 Te
4.374 6.822 10.740 Te
7.290 11.370 15.663 Te
```

Formation energy (no corrections) (meV/atom): -488